# Nd2InCoO6, relaxed, DFT GGA+U
# total moment	0.00	Bohr magnetons per cell
# electronic total energy	-6.998	eV per atom
# volume	251.1	Å³/cell
data_Nd2InCoO6
_chemical_formula_sum 'Nd4 In2 Co2 O12'
_space_group_name_H-M_alt 'P 1 21/c 1'
_space_group_IT_number 14
_cell_length_a 5.518
_cell_length_b 5.751
_cell_length_c 9.592
_cell_angle_alpha 90.00
_cell_angle_beta 124.41
_cell_angle_gamma 90.00
loop_
_space_group_symop_operation_xyz
'x,y,z'
'-x,-y,-z'
'-x,y+1/2,-z+1/2'
'x,-y+1/2,z+1/2'
loop_
_atom_site_label
_atom_site_fract_x
_atom_site_fract_y
_atom_site_fract_z
Nd1 0.232 0.060 0.250
In1 0.500 0.000 0.000
Co1 0.000 0.000 0.500
O1 0.129 0.215 0.943
O2 0.235 0.690 0.949
O3 0.338 0.034 0.736